(1)
4
Lattice="-3.308 1.300 1.196 -1.695 -3.061 -1.348 1.282 -4.358 8.285" Properties=species:S:1:pos:R:3 comment="BaLa2Ni GGA-PBE relaxed" dft_energy_ev_per_atom=-4.37 rho_g_cm3=5.9 dos_ef_per_ev_cell=5.3 e_form_ev_per_atom=0.018 de_polymorph_ev_per_fu=0.48 pbc="T T T"
La -2.095 -2.266 2.556
La 0.055 -0.187 0.356
Ba -1.614 -3.899 5.662
Ni 0.573 -1.947 3.701

=====

(2)
11
Lattice="-0.396 -1.084 -5.362 -1.708 -9.734 2.093 -8.411 7.144 1.982" Properties=species:S:1:pos:R:3 comment="K3Rb4Te4 GGA-PBE relaxed" dft_energy_ev_per_atom=-2.65 rho_g_cm3=3.0 dos_ef_per_ev_cell=1.7 formation_energy_uncorrected_ev_per_atom=-0.86 pbc="T T T"
Te -4.971 -4.112 1.198
Te -0.488 -2.197 -2.325
Te -5.544 0.439 -2.484
Te -1.616 -8.621 -0.943
Rb -4.678 -6.828 -1.080
Rb -3.969 -2.790 -1.948
Rb -5.837 3.155 -0.207
Rb -6.546 -0.884 0.662
K -8.680 -4.010 -1.354
K -0.854 -4.867 1.047
K -1.835 0.337 0.067

=====

(3)
4
Lattice="3.738 0.000 0.000 0.000 4.109 -0.009 0.000 2.063 8.205" Properties=species:S:1:pos:R:3 comment="Ca2YRh GGA-PBE relaxed" dft_energy_ev_per_atom=-4.80 rho_g_cm3=3.6 dos_ef_per_ev_cell=3.2 e_form_ev_per_atom=-0.345 de_polymorph_ev_per_fu=0.00 pbc="T T T"
Y 1.869 4.372 5.376
Ca 0.000 2.319 7.815
Ca 1.869 2.312 2.465
Rh 0.000 2.317 4.843

=====

(4)
8
Lattice="-1.694 0.925 7.215 -6.357 -3.789 -1.007 -2.608 -3.985 3.764" Properties=species:S:1:pos:R:3 comment="MnBeTl2 GGA-PBE relaxed" dft_energy_ev_per_atom=-3.67 rho_g_cm3=9.4 dos_ef_per_ev_cell=5.1 e_form_ev_per_atom=0.732 de_polymorph_ev_per_fu=1.22 pbc="T T T"
Tl -4.904 -3.212 1.500
Tl -2.438 -0.929 5.038
Tl -5.228 -4.214 5.111
Tl -8.749 -5.344 8.295
Mn 0.000 0.000 0.000
Mn -4.164 -2.246 7.042
Be -6.496 -4.603 2.930
Be -4.026 -1.432 3.104

=====

What did the fourth record say?
8
Lattice="-1.694 0.925 7.215 -6.357 -3.789 -1.007 -2.608 -3.985 3.764" Properties=species:S:1:pos:R:3 comment="MnBeTl2 GGA-PBE relaxed" dft_energy_ev_per_atom=-3.67 rho_g_cm3=9.4 dos_ef_per_ev_cell=5.1 e_form_ev_per_atom=0.732 de_polymorph_ev_per_fu=1.22 pbc="T T T"
Tl -4.904 -3.212 1.500
Tl -2.438 -0.929 5.038
Tl -5.228 -4.214 5.111
Tl -8.749 -5.344 8.295
Mn 0.000 0.000 0.000
Mn -4.164 -2.246 7.042
Be -6.496 -4.603 2.930
Be -4.026 -1.432 3.104